PaSiNO: optimized geometry, GGA-PBE.

a = 4.151 Å, b = 4.514 Å, c = 6.288 Å
α = 90.00°, β = 90.00°, γ = 90.00°
Fractional coordinates of all 8 atoms:
1 N 0.607 0.000 0.412
2 N 0.393 0.000 0.912
3 O 0.251 0.500 0.282
4 O 0.749 0.500 0.782
5 Pa 0.766 0.500 0.440
6 Pa 0.234 0.500 0.940
7 Si 0.707 0.000 0.120
8 Si 0.293 0.000 0.620

Summary:
Crystal system = orthorhombic
Spin magnetization = 0.000 μB per atom
E_tot = -8.13 eV/atom
Volume = 58.91 Å³/f.u.